First-principles (PBE) data for crystalline NdLuPb at its relaxed geometry, as listed in Alexandria via LeMat-Bulk.

Geometry as CIF:
```
data_NdLuPb
_chemical_formula_sum 'Nd1 Lu1 Pb1'
_cell_length_a 5.1427
_cell_length_b 5.1427
_cell_length_c 4.1126
_cell_angle_alpha 90.00
_cell_angle_beta 90.00
_cell_angle_gamma 120.00
_symmetry_space_group_name_H-M 'P 3 m 1'
_symmetry_Int_Tables_number 156
loop_
_symmetry_equiv_pos_as_xyz
'x,y,z'
'-y,x-y,z'
'-x+y,-x,z'
'-y,-x,z'
'-x+y,y,z'
'x,x-y,z'
loop_
_atom_site_label
_atom_site_fract_x
_atom_site_fract_y
_atom_site_fract_z
Nd1 0.0000 0.0000 0.0000
Lu1 0.3333 0.6667 0.5003
Pb1 0.6667 0.3333 0.4990
```

Output
Uncorrected energy = -4.570 eV/atom
Energy relative to the elements = -238 meV/atom
Total magnetization = 0.0 Bohr magnetons per cell
Volume = 31.4 Å³ per atom